Tl2CuIr: relaxed, PBE.

```
Tl2CuIr
1.0
3.294 0.000 0.000
0.000 4.443 0.000
0.000 0.000 5.373
Tl Cu Ir
2 1 1
Cartesian
0.000 0.000 0.000
1.647 0.000 2.687
0.000 2.222 2.687
1.647 2.222 0.000
```

## Properties
N(E_F): 0.62 states/eV/atom
Energy of formation from the pure elements: 223 kJ/mol of formula units
Relative energy among the computed polymorphs: 0.965 eV per formula unit
Magnetization: 0.00 μB per cell
Crystal system: orthorhombic